(1)
This record from Alexandria describes ZrBi3Ir at its PBEsol-relaxed geometry. The functional is SCAN.

abc: 5.2465 5.2465 5.2465
angles: 90.00 90.00 90.00
Element x y z (fractional)
Zr: 0.0000 0.0000 0.0000
Bi: 0.0000 0.5000 0.5000
Bi: 0.5000 0.0000 0.5000
Bi: 0.5000 0.5000 0.0000
Ir: 0.5000 0.5000 0.5000

Values from the calculation:
- V (Å³/cell) = 144
- formation energy (eV per atom) = 0.759
- magnetization (Bohr magnetons per cell) = 0.0

=====

(2)
This record from Alexandria describes K3Bi at its PBEsol-relaxed geometry. The functional is SCAN.

abc: 6.0420 6.0420 6.0420
angles: 60.00 60.00 60.00
Element x y z (fractional)
K: 0.0000 0.0000 0.0000
K: 0.2500 0.2500 0.2500
K: 0.7500 0.7500 0.7500
Bi: 0.5000 0.5000 0.5000

Values from the calculation:
- V (Å³/cell) = 156
- distance to the lowest polymorph of the same formula (eV/atom) = 0.0162
- formation energy (eV per atom) = -0.433
- magnetization (Bohr magnetons per cell) = 0.1

=====

(3)
This record from Alexandria describes KBi2 at its PBEsol-relaxed geometry. The functional is SCAN.

abc: 6.6840 6.6840 6.6840
angles: 60.00 60.00 60.00
Element x y z (fractional)
K: 0.1250 0.1250 0.1250
K: 0.8750 0.8750 0.8750
Bi: 0.0000 0.5000 0.5000
Bi: 0.5000 0.0000 0.5000
Bi: 0.5000 0.5000 0.0000
Bi: 0.5000 0.5000 0.5000

Values from the calculation:
- V (Å³/cell) = 211
- formation energy (eV per atom) = -0.373
- magnetization (Bohr magnetons per cell) = 0.0

=====

(4)
This record from Alexandria describes K3Bi at its PBEsol-relaxed geometry. The functional is SCAN.

abc: 10.5869 10.5869 10.8440
angles: 90.00 90.00 120.00
Element x y z (fractional)
K: 0.0000 0.0000 0.0000
K: 0.0000 0.0000 0.5000
K: 0.0000 0.2988 0.2221
K: 0.0000 0.3629 0.8870
K: 0.0000 0.6371 0.3870
K: 0.0000 0.7012 0.7221
K: 0.2988 0.0000 0.2221
K: 0.2988 0.2988 0.7221
K: 0.3333 0.6667 0.0842
K: 0.3333 0.6667 0.5842
K: 0.3629 0.0000 0.8870
K: 0.3629 0.3629 0.3870
K: 0.6371 0.0000 0.3870
K: 0.6371 0.6371 0.8870
K: 0.6667 0.3333 0.0842
K: 0.6667 0.3333 0.5842
K: 0.7012 0.0000 0.7221
K: 0.7012 0.7012 0.2221
Bi: 0.0000 0.3296 0.5546
Bi: 0.0000 0.6704 0.0546
Bi: 0.3296 0.0000 0.5546
Bi: 0.3296 0.3296 0.0546
Bi: 0.6704 0.0000 0.0546
Bi: 0.6704 0.6704 0.5546

Values from the calculation:
- V (Å³/cell) = 1053
- distance to the lowest polymorph of the same formula (eV/atom) = 0.0030
- formation energy (eV per atom) = -0.446
- magnetization (Bohr magnetons per cell) = 0.0

=====

(5)
This record from Alexandria describes K5Bi4 at its PBEsol-relaxed geometry. The functional is SCAN.

abc: 6.8451 6.8451 11.4871
angles: 109.09 109.09 47.73
Element x y z (fractional)
K: 0.0000 0.0000 0.0000
K: 0.0948 0.0948 0.3863
K: 0.2442 0.2442 0.8343
K: 0.7558 0.7558 0.1657
K: 0.9052 0.9052 0.6137
Bi: 0.3891 0.3891 0.3923
Bi: 0.4558 0.4558 0.1687
Bi: 0.5442 0.5442 0.8313
Bi: 0.6109 0.6109 0.6077

Values from the calculation:
- V (Å³/cell) = 372
- formation energy (eV per atom) = -0.433
- magnetization (Bohr magnetons per cell) = 0.0

=====

(6)
This record from Alexandria describes K3Bi at its PBEsol-relaxed geometry. The functional is SCAN.

abc: 6.1100 6.1100 10.8706
angles: 90.00 90.00 120.00
Element x y z (fractional)
K: 0.0000 0.0000 0.2500
K: 0.0000 0.0000 0.7500
K: 0.3333 0.6667 0.0815
K: 0.3333 0.6667 0.4185
K: 0.6667 0.3333 0.5815
K: 0.6667 0.3333 0.9185
Bi: 0.3333 0.6667 0.7500
Bi: 0.6667 0.3333 0.2500

Values from the calculation:
- V (Å³/cell) = 351
- distance to the lowest polymorph of the same formula (eV/atom) = 0.0000
- formation energy (eV per atom) = -0.449
- magnetization (Bohr magnetons per cell) = 0.0

=====

(7)
This record from Alexandria describes KLaBi3 at its PBEsol-relaxed geometry. The functional is SCAN.

abc: 5.6677 5.6677 5.6677
angles: 90.00 90.00 90.00
Element x y z (fractional)
K: 0.0000 0.0000 0.0000
La: 0.5000 0.5000 0.5000
Bi: 0.0000 0.0000 0.5000
Bi: 0.0000 0.5000 0.0000
Bi: 0.5000 0.0000 0.0000

Values from the calculation:
- V (Å³/cell) = 182
- formation energy (eV per atom) = 0.445
- magnetization (Bohr magnetons per cell) = 0.0

=====

(8)
This record from Alexandria describes K2LiBi at its PBEsol-relaxed geometry. The functional is SCAN.

abc: 12.3998 12.3998 12.3998
angles: 157.14 157.14 32.55
Element x y z (fractional)
K: 0.1237 0.6250 0.9987
K: 0.3750 0.3737 0.4987
K: 0.6263 0.1250 0.0013
K: 0.8750 0.8763 0.5013
Li: 0.0000 0.0000 0.0000
Li: 0.7500 0.2500 0.5000
Bi: 0.2500 0.7500 0.5000
Bi: 0.5000 0.5000 0.0000

Values from the calculation:
- V (Å³/cell) = 287
- formation energy (eV per atom) = -0.058
- magnetization (Bohr magnetons per cell) = 0.0

=====

(9)
This record from Alexandria describes K3MgBi at its PBEsol-relaxed geometry. The functional is SCAN.

abc: 6.7581 6.7581 6.7581
angles: 90.00 90.00 90.00
Element x y z (fractional)
K: 0.0000 0.0000 0.5000
K: 0.0000 0.5000 0.0000
K: 0.5000 0.0000 0.0000
Mg: 0.5000 0.5000 0.5000
Bi: 0.0000 0.0000 0.0000

Values from the calculation:
- V (Å³/cell) = 309
- formation energy (eV per atom) = 0.028
- magnetization (Bohr magnetons per cell) = 0.0

=====

(10)
This record from Alexandria describes KMg3Bi at its PBEsol-relaxed geometry. The functional is SCAN.

abc: 5.6579 5.6579 5.6579
angles: 90.00 90.00 90.00
Element x y z (fractional)
K: 0.0000 0.0000 0.0000
Mg: 0.0000 0.0000 0.5000
Mg: 0.0000 0.5000 0.0000
Mg: 0.5000 0.0000 0.0000
Bi: 0.5000 0.5000 0.5000

Values from the calculation:
- V (Å³/cell) = 181
- formation energy (eV per atom) = 1.104
- magnetization (Bohr magnetons per cell) = 0.0

=====

(11)
This record from Alexandria describes KMgBi at its PBEsol-relaxed geometry. The functional is SCAN.

abc: 4.8702 4.8702 8.3855
angles: 90.00 90.00 90.00
Element x y z (fractional)
K: 0.2500 0.2500 0.1516
K: 0.7500 0.7500 0.8484
Mg: 0.2500 0.7500 0.5000
Mg: 0.7500 0.2500 0.5000
Bi: 0.2500 0.2500 0.7084
Bi: 0.7500 0.7500 0.2916

Values from the calculation:
- V (Å³/cell) = 199
- formation energy (eV per atom) = -0.548
- magnetization (Bohr magnetons per cell) = 0.0

=====

(12)
This record from Alexandria describes KMgReBi2 at its PBEsol-relaxed geometry. The functional is SCAN.

abc: 5.5066 5.5066 5.0399
angles: 90.00 90.00 90.00
Element x y z (fractional)
K: 0.0000 0.0000 0.0000
Mg: 0.5000 0.5000 0.5000
Re: 0.5000 0.5000 0.0000
Bi: 0.0000 0.5000 0.5000
Bi: 0.5000 0.0000 0.5000

Values from the calculation:
- V (Å³/cell) = 153
- formation energy (eV per atom) = 1.075
- magnetization (Bohr magnetons per cell) = 3.4

=====

(13)
This record from Alexandria describes KSr2MgBi at its PBEsol-relaxed geometry. The functional is SCAN.

abc: 6.3980 6.3980 5.6404
angles: 90.00 90.00 90.00
Element x y z (fractional)
K: 0.0000 0.0000 0.0000
Sr: 0.0000 0.5000 0.5000
Sr: 0.5000 0.0000 0.5000
Mg: 0.5000 0.5000 0.5000
Bi: 0.5000 0.5000 0.0000

Values from the calculation:
- V (Å³/cell) = 231
- formation energy (eV per atom) = 0.006
- magnetization (Bohr magnetons per cell) = 0.0

=====

(14)
This record from Alexandria describes KMgBi2W at its PBEsol-relaxed geometry. The functional is SCAN.

abc: 5.7208 5.7208 5.3707
angles: 90.00 90.00 90.00
Element x y z (fractional)
K: 0.0000 0.0000 0.0000
Mg: 0.5000 0.5000 0.5000
Bi: 0.0000 0.5000 0.0000
Bi: 0.5000 0.0000 0.0000
W: 0.0000 0.0000 0.5000

Values from the calculation:
- V (Å³/cell) = 176
- formation energy (eV per atom) = 2.201
- magnetization (Bohr magnetons per cell) = 4.2

=====

(15)
This record from Alexandria describes KBi3Mo at its PBEsol-relaxed geometry. The functional is SCAN.

abc: 5.4468 5.4468 5.4468
angles: 90.00 90.00 90.00
Element x y z (fractional)
K: 0.0000 0.0000 0.0000
Bi: 0.0000 0.5000 0.5000
Bi: 0.5000 0.0000 0.5000
Bi: 0.5000 0.5000 0.0000
Mo: 0.5000 0.5000 0.5000

Values from the calculation:
- V (Å³/cell) = 162
- formation energy (eV per atom) = 0.284
- magnetization (Bohr magnetons per cell) = 0.0

=====

(16)
This record from Alexandria describes K2BiMoPO8 at its PBEsol-relaxed geometry. The functional is SCAN.

abc: 12.1482 12.1482 12.1482
angles: 146.19 118.58 71.99
Element x y z (fractional)
K: 0.0756 0.6860 0.4513
K: 0.2347 0.1860 0.1104
K: 0.2653 0.3758 0.9513
K: 0.4244 0.8758 0.6104
K: 0.5756 0.1242 0.3896
K: 0.7347 0.6242 0.0487
K: 0.7653 0.8140 0.8896
K: 0.9244 0.3140 0.5487
Bi: 0.1728 0.7500 0.9228
Bi: 0.3272 0.2500 0.5772
Bi: 0.6728 0.7500 0.4228
Bi: 0.8272 0.2500 0.0772
Mo: 0.0821 0.8321 0.2500
Mo: 0.4179 0.6679 0.7500
Mo: 0.5821 0.3321 0.2500
Mo: 0.9179 0.1679 0.7500
P: 0.0716 0.2500 0.3216
P: 0.4284 0.7500 0.1784
P: 0.5716 0.2500 0.8216
P: 0.9284 0.7500 0.6784
O: 0.0608 0.3382 0.2736
O: 0.0646 0.8382 0.7773
O: 0.0807 0.1650 0.8093
O: 0.1037 0.6785 0.0166
O: 0.1397 0.4083 0.5699
O: 0.1444 0.7287 0.3093
O: 0.1619 0.0871 0.4834
O: 0.1616 0.0917 0.2314
O: 0.3384 0.5698 0.9301
O: 0.3381 0.8215 0.9252
O: 0.3556 0.6650 0.5843
O: 0.3603 0.9302 0.2686
O: 0.3963 0.4129 0.5748
O: 0.4193 0.2287 0.0843
O: 0.4354 0.2128 0.7736
O: 0.4392 0.7128 0.2773
O: 0.5608 0.2872 0.7227
O: 0.5646 0.7872 0.2264
O: 0.5807 0.7713 0.9157
O: 0.6037 0.5871 0.4252
O: 0.6397 0.0698 0.7314
O: 0.6444 0.3350 0.4157
O: 0.6619 0.1785 0.0748
O: 0.6616 0.4302 0.0699
O: 0.8384 0.9083 0.7686
O: 0.8381 0.9129 0.5166
O: 0.8556 0.2713 0.6907
O: 0.8603 0.5917 0.4301
O: 0.8963 0.3215 0.9834
O: 0.9193 0.8350 0.1907
O: 0.9354 0.1618 0.2227
O: 0.9392 0.6618 0.7264

Values from the calculation:
- V (Å³/cell) = 862
- formation energy (no corrections) (kcal/mol of atoms) = -50.9
- magnetization (Bohr magnetons per cell) = 0.0

=====

(17)
This record from Alexandria describes KSnBiMo2 at its PBEsol-relaxed geometry. The functional is SCAN.

abc: 4.6582 4.6582 5.5658
angles: 90.00 90.00 90.00
Element x y z (fractional)
K: 0.0000 0.0000 0.0000
Sn: 0.5000 0.5000 0.5000
Bi: 0.0000 0.0000 0.5000
Mo: 0.0000 0.5000 0.0000
Mo: 0.5000 0.0000 0.0000

Values from the calculation:
- V (Å³/cell) = 121
- formation energy (eV per atom) = 2.713
- magnetization (Bohr magnetons per cell) = 5.7

=====

(18)
This record from Alexandria describes KNa2Bi2 at its PBEsol-relaxed geometry. The functional is SCAN.

abc: 7.6761 7.6761 7.6761
angles: 141.07 141.07 56.23
Element x y z (fractional)
K: 0.0000 0.0000 0.0000
Na: 0.2500 0.7500 0.5000
Na: 0.7500 0.2500 0.5000
Bi: 0.3927 0.3927 0.0000
Bi: 0.6073 0.6073 0.0000

Values from the calculation:
- V (Å³/cell) = 177
- distance to the lowest polymorph of the same formula (eV/atom) = 0.0071
- formation energy (eV per atom) = -0.347
- magnetization (Bohr magnetons per cell) = 0.1

=====

(19)
This record from Alexandria describes KNa2Bi2 at its PBEsol-relaxed geometry. The functional is SCAN.

abc: 9.7032 9.7032 3.3920
angles: 90.00 90.00 90.00
Element x y z (fractional)
K: 0.0000 0.0000 0.0000
K: 0.5000 0.5000 0.0000
Na: 0.1281 0.3719 0.5000
Na: 0.3719 0.8719 0.5000
Na: 0.6281 0.1281 0.5000
Na: 0.8719 0.6281 0.5000
Bi: 0.1652 0.6652 0.0000
Bi: 0.3348 0.1652 0.0000
Bi: 0.6652 0.8348 0.0000
Bi: 0.8348 0.3348 0.0000

Values from the calculation:
- V (Å³/cell) = 319
- distance to the lowest polymorph of the same formula (eV/atom) = 0.0000
- formation energy (eV per atom) = -0.354
- magnetization (Bohr magnetons per cell) = 0.0

=====

(20)
This record from Alexandria describes K2NaBi2 at its PBEsol-relaxed geometry. The functional is SCAN.

abc: 8.3956 8.3956 5.4060
angles: 90.00 90.00 90.00
Element x y z (fractional)
K: 0.1685 0.3315 0.0000
K: 0.3315 0.8315 0.0000
K: 0.6685 0.1685 0.0000
K: 0.8315 0.6685 0.0000
Na: 0.0000 0.0000 0.5000
Na: 0.5000 0.5000 0.5000
Bi: 0.1258 0.6258 0.5000
Bi: 0.3742 0.1258 0.5000
Bi: 0.6258 0.8742 0.5000
Bi: 0.8742 0.3742 0.5000

Values from the calculation:
- V (Å³/cell) = 381
- formation energy (eV per atom) = -0.374
- magnetization (Bohr magnetons per cell) = 0.0